Material: Dy2P4O13
Method: DFT, SCAN
State: single point on PBEsol structure

Calculated values
The raw formation energy comes out at -2.972 eV/atom. The calculation puts the density of states at the Fermi level at 0.0 states/eV/f.u. The value obtained for the energy above the most stable polymorph in this dataset is 0 meV/atom. The value obtained for the total energy is -14.46 eV/atom.

a = 7.017 Å, b = 8.568 Å, c = 9.367 Å
α = 90.00°, β = 112.00°, γ = 90.00°
Fractional positions:
O 0.419 0.882 0.685
O 0.256 0.202 0.042
O 0.911 0.250 0.822
O 0.070 0.098 0.297
O 0.618 0.107 0.832
O 0.227 0.402 0.297
P 0.151 0.225 0.872
O 0.027 0.393 0.542
P 0.721 0.275 0.872
O 0.773 0.902 0.703
P 0.580 0.001 0.680
P 0.420 0.501 0.320
O 0.735 0.118 0.315
O 0.973 0.893 0.458
O 0.744 0.702 0.958
O 0.786 0.298 0.042
O 0.214 0.393 0.832
Dy 0.396 0.148 0.293
Dy 0.897 0.352 0.293
O 0.515 0.107 0.542
O 0.407 0.899 0.232
O 0.382 0.607 0.168
Dy 0.103 0.852 0.707
O 0.825 0.601 0.232
P 0.849 0.725 0.128
O 0.214 0.798 0.958
P 0.900 0.999 0.320
O 0.485 0.607 0.458
O 0.786 0.893 0.168
O 0.265 0.618 0.685
O 0.593 0.399 0.768
Dy 0.604 0.648 0.707
O 0.089 0.750 0.178
O 0.175 0.101 0.768
P 0.279 0.775 0.128
O 0.581 0.382 0.315
O 0.930 0.598 0.703
P 0.100 0.499 0.680

=====

Material: Co3SnRu
Method: DFT, SCAN
State: single point on PBEsol structure

Calculated values
The value obtained for the energy of formation from the pure elements is 1.339 eV/atom. The calculation puts the density of states at the Fermi level at 5.2 states/eV/f.u. The value obtained for the total energy is -23.19 eV/atom.

a = 4.348 Å, b = 4.348 Å, c = 4.348 Å
α = 90.00°, β = 90.00°, γ = 90.00°
Each line ends with the local moment (μB).
Fractional positions:
Co 0.000 0.000 0.500  1.78
Co 0.500 0.000 0.000  1.78
Co 0.000 0.500 0.000  1.78
Sn 0.500 0.500 0.500  -0.02
Ru 0.000 0.000 0.000  0.66

=====

Material: ZrTeCl
Method: DFT, SCAN
State: single point on PBEsol structure

Calculated values
The raw formation energy comes out at -0.978 eV/atom. The calculation puts the density of states at the Fermi level at 4.5 states/eV/f.u. The value obtained for the total energy is -26.29 eV/atom.

a = 4.770 Å, b = 4.770 Å, c = 4.770 Å
α = 60.00°, β = 60.00°, γ = 60.00°
Each line ends with the local moment (μB).
Fractional positions:
Te 0.500 0.500 0.500  -0.07
Cl 0.000 0.000 0.000  -0.03
Zr 0.250 0.250 0.250  0.75

=====

Material: BaY2Ta
Method: DFT, SCAN
State: single point on PBEsol structure

Calculated values
The value obtained for the energy of formation from the pure elements is 0.646 eV/atom. The calculation puts the density of states at the Fermi level at 5.5 states/eV/f.u. The value obtained for the total energy is -39.81 eV/atom.

a = 3.275 Å, b = 3.275 Å, c = 10.872 Å
α = 90.00°, β = 90.00°, γ = 90.00°
Fractional positions:
Ba 0.000 0.000 0.527
Y 0.000 0.000 0.970
Ta 0.500 0.500 0.777
Y 0.500 0.500 0.226

=====

Material: Cs2AlO
Method: DFT, SCAN
State: single point on PBEsol structure

Calculated values
The raw formation energy comes out at 0.262 eV/atom. The calculation puts the density of states at the Fermi level at 2.9 states/eV/f.u. The value obtained for the total energy is -22.14 eV/atom.

a = 5.508 Å, b = 5.508 Å, c = 5.508 Å
α = 60.00°, β = 60.00°, γ = 60.00°
Fractional positions:
Cs 0.250 0.250 0.250
O 0.000 0.000 0.000
Al 0.500 0.500 0.500
Cs 0.750 0.750 0.750

=====

Material: Hf2Pd
Method: DFT, SCAN
State: single point on PBEsol structure

Calculated values
The value obtained for the energy of formation from the pure elements is -0.570 eV/atom. The calculation puts the density of states at the Fermi level at 1.7 states/eV/f.u. The value obtained for the total energy is -53.28 eV/atom.

a = 5.774 Å, b = 5.774 Å, c = 5.774 Å
α = 147.28°, β = 147.28°, γ = 46.95°
Fractional positions:
Pd 0.000 0.000 0.000
Hf 0.342 0.342 0.000
Hf 0.658 0.658 0.000

=====

Material: LiIrRh2
Method: DFT, SCAN
State: single point on PBEsol structure

Calculated values
The value obtained for the energy of formation from the pure elements is -0.114 eV/atom. The calculation puts the density of states at the Fermi level at 3.4 states/eV/f.u. The value obtained for the energy above the most stable polymorph in this dataset is 41 meV/atom. The value obtained for the total energy is -35.37 eV/atom.

a = 3.735 Å, b = 3.735 Å, c = 4.564 Å
α = 114.15°, β = 114.15°, γ = 90.00°
Fractional positions:
Rh 0.250 0.750 0.500
Li 0.000 0.000 0.000
Ir 0.500 0.500 0.000
Rh 0.750 0.250 0.500

=====

Material: Ni2SbRh
Method: DFT, SCAN
State: single point on PBEsol structure

Calculated values
The raw formation energy comes out at -0.162 eV/atom. The calculation puts the density of states at the Fermi level at 3.4 states/eV/f.u. The value obtained for the total energy is -26.01 eV/atom.

a = 3.833 Å, b = 3.833 Å, c = 4.524 Å
α = 115.06°, β = 115.06°, γ = 90.00°
Fractional positions:
Ni 0.250 0.750 0.500
Rh 0.500 0.500 0.000
Sb 0.750 0.250 0.500
Ni 0.000 0.000 0.000